Here is a crystal of CrCd2Fe relaxed with PBEsol from the Alexandria database. Energies are from meta-GGA SCAN.

Unit cell a=4.059 b=4.059 c=4.813 alpha=114.94 beta=114.94 gamma=90.00
Each line ends with the local moment (μB).
Fractional positions:
Cd  0.750  0.250  0.500  -0.07
Cd  0.250  0.750  0.500  -0.07
Cr  0.500  0.500  0.000  3.52
Fe  0.000  0.000  0.000  2.72

Computed properties:
Relative energy among the computed polymorphs: 0 meV per atom
ΔE_f: 1.22 eV per formula unit